Run w
Below is a geometry-optimized NdHo12Tm6 structure, with properties calculated at the PBE level.

Summary:
The space group is No. 148.

a b c (Å): 8.4554 8.4554 8.4554
angles (deg): 88.26 88.26 88.26
With the nearest neighbours (Å) after each atom.
Atoms (fractional coordinates):
Tm1 0.3122 0.7436 0.9069  6 Ho 3.22-3.57, 1 Nd 3.45, 2 Tm 3.47
Tm2 0.0931 0.6878 0.2564  6 Ho 3.22-3.57, 1 Nd 3.45, 2 Tm 3.47
Tm3 0.7436 0.9069 0.3122  6 Ho 3.22-3.57, 1 Nd 3.45, 2 Tm 3.47
Tm4 0.2564 0.0931 0.6878  6 Ho 3.22-3.57, 1 Nd 3.45, 2 Tm 3.47
Tm5 0.6878 0.2564 0.0931  6 Ho 3.22-3.57, 1 Nd 3.45, 2 Tm 3.47
Tm6 0.9069 0.3122 0.7436  6 Ho 3.22-3.57, 1 Nd 3.45, 2 Tm 3.47
Ho1 0.3570 0.0087 0.2091  4 Ho 3.39-3.56, 4 Tm 3.49-3.64, 1 Nd 3.55
Ho2 0.2091 0.3570 0.0087  4 Ho 3.39-3.56, 4 Tm 3.49-3.64, 1 Nd 3.55
Ho3 0.4563 0.5650 0.2259  3 Tm 3.22-3.41, 6 Ho 3.26-3.53
Ho4 0.5650 0.2259 0.4563  3 Tm 3.22-3.41, 6 Ho 3.26-3.53
Ho5 0.2259 0.4563 0.5650  3 Tm 3.22-3.41, 6 Ho 3.26-3.53
Ho6 0.7741 0.5437 0.4350  3 Tm 3.22-3.41, 6 Ho 3.26-3.53
Ho7 0.5437 0.4350 0.7741  3 Tm 3.22-3.41, 6 Ho 3.26-3.53
Ho8 0.4350 0.7741 0.5437  3 Tm 3.22-3.41, 6 Ho 3.26-3.53
Ho9 0.9913 0.7909 0.6430  4 Ho 3.39-3.56, 4 Tm 3.49-3.64, 1 Nd 3.55
Ho10 0.0087 0.2091 0.3570  4 Ho 3.39-3.56, 4 Tm 3.49-3.64, 1 Nd 3.55
Ho11 0.7909 0.6430 0.9913  4 Ho 3.39-3.56, 4 Tm 3.49-3.64, 1 Nd 3.55
Ho12 0.6430 0.9913 0.7909  4 Ho 3.39-3.56, 4 Tm 3.49-3.64, 1 Nd 3.55
Nd1 0.0000 0.0000 0.0000  6 Tm 3.45, 6 Ho 3.55


Run x
Below is a geometry-optimized NdHo12Tm6 structure, with properties calculated at the PBE level.

Summary:
The space group is No. 166.

a b c (Å): 9.2097 9.2097 9.2097
angles (deg): 107.51 107.51 107.51
With the nearest neighbours (Å) after each atom.
Atoms (fractional coordinates):
Tm1 0.3105 0.7296 0.3105  5 Ho 3.10-3.37
Tm2 0.3105 0.3105 0.7296  5 Ho 3.10-3.37
Tm3 0.6895 0.6895 0.2704  5 Ho 3.10-3.37
Tm4 0.6895 0.2704 0.6895  5 Ho 3.10-3.37
Tm5 0.7296 0.3105 0.3105  5 Ho 3.10-3.37
Tm6 0.2704 0.6895 0.6895  5 Ho 3.10-3.37
Nd1 0.0000 0.0000 0.0000  6 Ho 3.50
Ho1 0.6340 0.8553 0.6340  1 Tm 3.10, 2 Ho 3.29
Ho2 0.5000 0.1114 0.8886  4 Tm 3.25-3.37, 3 Ho 3.31-3.57
Ho3 0.6340 0.6340 0.8553  1 Tm 3.10, 2 Ho 3.29
Ho4 0.1447 0.3660 0.3660  1 Tm 3.10, 2 Ho 3.29
Ho5 0.1114 0.8886 0.5000  4 Tm 3.25-3.37, 3 Ho 3.31-3.57
Ho6 0.1114 0.5000 0.8886  4 Tm 3.25-3.37, 3 Ho 3.31-3.57
Ho7 0.3660 0.3660 0.1447  1 Tm 3.10, 2 Ho 3.29
Ho8 0.8886 0.1114 0.5000  4 Tm 3.25-3.37, 3 Ho 3.31-3.57
Ho9 0.5000 0.8886 0.1114  4 Tm 3.25-3.37, 3 Ho 3.31-3.57
Ho10 0.3660 0.1447 0.3660  1 Tm 3.10, 2 Ho 3.29
Ho11 0.8886 0.5000 0.1114  4 Tm 3.25-3.37, 3 Ho 3.31-3.57
Ho12 0.8553 0.6340 0.6340  1 Tm 3.10, 2 Ho 3.29


Of them, the most stable is run w and the least stable is run x.


Run w
Below is a geometry-optimized Nd2Ho5Tm4 structure, with properties calculated at the PBE level.

Summary:
The space group is No. 71.

a b c (Å): 3.4694 8.9541 12.5326
angles (deg): 110.93 97.96 90.00
With the nearest neighbours (Å) after each atom.
Atoms (fractional coordinates):
Ho1 0.8595 0.0542 0.7190  3 Tm 3.39-3.42, 1 Nd 3.41, 3 Ho 3.47-3.49
Ho2 0.1405 0.3352 0.2810  3 Tm 3.39-3.42, 1 Nd 3.41, 3 Ho 3.47-3.49
Ho3 0.1405 0.9458 0.2810  3 Tm 3.39-3.42, 1 Nd 3.41, 3 Ho 3.47-3.49
Ho4 0.8595 0.6648 0.7190  3 Tm 3.39-3.42, 1 Nd 3.41, 3 Ho 3.47-3.49
Ho5 0.5000 0.0000 0.0000  4 Tm 3.30, 2 Ho 3.47
Nd1 0.7328 0.7328 0.4655  1 Tm 3.15, 2 Ho 3.41, 2 Nd 3.47
Nd2 0.2672 0.2672 0.5345  1 Tm 3.15, 2 Ho 3.41, 2 Nd 3.47
Tm1 0.5969 0.5969 0.1937  1 Nd 3.15, 6 Tm 3.29-3.47, 4 Ho 3.39
Tm2 0.4031 0.4031 0.8063  1 Nd 3.15, 6 Tm 3.29-3.47, 4 Ho 3.39
Tm3 0.0000 0.6871 0.0000  7 Tm 3.29-3.47, 4 Ho 3.30-3.42
Tm4 0.0000 0.3129 0.0000  7 Tm 3.29-3.47, 4 Ho 3.30-3.42


Run x
Below is a geometry-optimized Nd2Ho5Tm4 structure, with properties calculated at the PBE level.

Summary:
The space group is No. 2.

a b c (Å): 3.5405 9.3630 11.7286
angles (deg): 106.56 81.35 112.26
With the nearest neighbours (Å) after each atom.
Atoms (fractional coordinates):
Tm1 0.3147 0.3615 0.0937  3 Ho 3.49-3.53, 5 Tm 3.52-3.62, 4 Nd 3.54-3.56
Tm2 0.7713 0.4536 0.3644  5 Ho 3.50-3.53, 6 Tm 3.52-3.54, 1 Nd 3.55
Tm3 0.2287 0.5464 0.6356  5 Ho 3.50-3.53, 6 Tm 3.52-3.54, 1 Nd 3.55
Tm4 0.6853 0.6385 0.9063  3 Ho 3.49-3.53, 5 Tm 3.52-3.62, 4 Nd 3.54-3.56
Ho1 0.0434 0.9069 0.7265  3 Tm 3.49-3.52, 7 Ho 3.52-3.57, 2 Nd 3.56
Ho2 0.5000 0.0000 0.0000  4 Tm 3.52-3.53, 2 Nd 3.54, 6 Ho 3.54-3.55
Ho3 0.4114 0.1836 0.5443  3 Tm 3.50-3.53, 7 Ho 3.52-3.57, 2 Nd 3.55
Ho4 0.9566 0.0931 0.2735  3 Tm 3.49-3.52, 7 Ho 3.52-3.57, 2 Nd 3.56
Ho5 0.5886 0.8164 0.4557  3 Tm 3.50-3.53, 7 Ho 3.52-3.57, 2 Nd 3.55
Nd1 0.8638 0.2735 0.8184  5 Ho 3.54-3.56, 2 Nd 3.54, 5 Tm 3.54-3.56
Nd2 0.1362 0.7265 0.1816  5 Ho 3.54-3.56, 2 Nd 3.54, 5 Tm 3.54-3.56


Of them, the most stable is run x and the least stable is run w.